DFT (PBE-GGA) results for CaGa2I8 after structural relaxation.

Output
Total magnetic moment in μB/f.u.: 0.0
Crystal system: monoclinic
Mass density in g cm⁻³: 3.52
Symmetry: No. 12
Energy relative to the elements, uncorrected in eV per atom: -0.7963

Cell: 8.9954 8.9954 7.1401 Å, 95.89 95.89 79.88°
Element x y z (fractional)
Ca  0.0000  0.0000  0.0000
Ga  0.2009  0.2009  0.6593
Ga  0.7991  0.7991  0.3407
I  0.0743  0.7139  0.2344
I  0.1987  0.1987  0.2932
I  0.2861  0.9257  0.7656
I  0.3786  0.3786  0.8079
I  0.6214  0.6214  0.1921
I  0.7139  0.0743  0.2344
I  0.8013  0.8013  0.7068
I  0.9257  0.2861  0.7656